Here is a relaxed structure of Dy4Y2Sc from Alexandria via LeMat-Bulk. Energies are from PBE.

a = 6.140 Å, b = 6.456 Å, c = 11.317 Å
α = 90.00°, β = 105.51°, γ = 90.00°
Fractional coordinates of all 14 atoms:
Dy 0.042 0.250 0.369
Dy 0.144 0.250 0.943
Dy 0.350 0.506 0.214
Dy 0.350 0.994 0.214
Dy 0.650 0.006 0.786
Dy 0.650 0.494 0.786
Dy 0.856 0.750 0.057
Dy 0.958 0.750 0.631
Y 0.288 0.750 0.921
Y 0.381 0.750 0.502
Y 0.619 0.250 0.498
Y 0.712 0.250 0.079
Sc 0.161 0.250 0.665
Sc 0.839 0.750 0.335

Output
- E above lowest polymorph: 0.0000 eV per atom
- Density of states at the Fermi level: 11.8 states/eV/f.u.